A:
This record from Alexandria via LeMat-Bulk describes crystalline CsCuSb2Te at its relaxed geometry. The functional is GGA-PBE.

DOS(E_F) = 3.50 states/eV per cell
Volume = 31.5 A^3/atom
Symmetry = P4/mmm, No. 123

Cell: 5.2722 5.2722 5.6697 Å, 90.00 90.00 90.00°
Element x y z (fractional)
Te: 0.0000 0.0000 0.5000
Cs: 0.5000 0.5000 0.5000
Sb: 0.0000 0.5000 0.0000
Cu: 0.0000 0.0000 0.0000
Sb: 0.5000 0.0000 0.0000

---

B:
This record from Alexandria via LeMat-Bulk describes crystalline CsCuSb2Te at its relaxed geometry. The functional is GGA-PBE.

DOS(E_F) = 6.80 states/eV per cell
Volume = 51.1 A^3/atom
Symmetry = P4/mmm, No. 123

Cell: 6.2993 6.2993 6.4330 Å, 90.00 90.00 90.00°
Last column: magnetic moment on the atom in μB.
Element x y z (fractional)
Cs: 0.0000 0.0000 0.0000  -0.01
Sb: 0.0000 0.5000 0.0000  0.16
Cu: 0.5000 0.5000 0.5000  0.00
Sb: 0.5000 0.0000 0.0000  0.16
Te: 0.0000 0.0000 0.5000  -0.05

---

Stability ranking, top entry: A; the second entry is 158.6 kJ/mol of atoms less favorable.

---

A:
This record from Alexandria via LeMat-Bulk describes crystalline CsSc2Cu at its relaxed geometry. The functional is GGA-PBE.

DOS(E_F) = 2.23 states/eV per cell
Volume = 23.9 A^3/atom
Symmetry = Fm-3m, No. 225

Cell: 5.1297 5.1297 5.1297 Å, 60.00 60.00 60.00°
Element x y z (fractional)
Sc: 0.7500 0.7500 0.7500
Cs: 0.5000 0.5000 0.5000
Cu: 0.0000 0.0000 0.0000
Sc: 0.2500 0.2500 0.2500

---

B:
This record from Alexandria via LeMat-Bulk describes crystalline CsSc2Cu at its relaxed geometry. The functional is GGA-PBE.

DOS(E_F) = 5.75 states/eV per cell
Volume = 30.0 A^3/atom
Symmetry = R-3m, No. 166

Cell: 10.7148 10.7148 10.7148 Å, 19.50 19.50 19.50°
Element x y z (fractional)
Sc: 0.1149 0.1149 0.1149
Cu: 0.5000 0.5000 0.5000
Sc: 0.8851 0.8851 0.8851
Cs: 0.0000 0.0000 0.0000

---

Stability ranking, top entry: B; the second entry is 32.6 kJ/mol of atoms less favorable.

---

A:
This record from Alexandria via LeMat-Bulk describes crystalline CsScCu2 at its relaxed geometry. The functional is GGA-PBE.

DOS(E_F) = 8.79 states/eV per cell
Volume = 30.5 A^3/atom
Symmetry = I-42d, No. 122

Cell: 7.9894 7.9894 6.8179 Å, 54.13 54.13 90.00°
Element x y z (fractional)
Cu: 0.3750 0.4486 0.7500
Cs: 0.7500 0.2500 0.5000
Cs: 0.0000 0.0000 0.0000
Cu: 0.1986 0.6250 0.2500
Cu: 0.5514 0.1250 0.2500
Cu: 0.8750 0.8014 0.7500
Sc: 0.2500 0.7500 0.5000
Sc: 0.5000 0.5000 0.0000

---

B:
This record from Alexandria via LeMat-Bulk describes crystalline CsScCu2 at its relaxed geometry. The functional is GGA-PBE.

DOS(E_F) = 5.40 states/eV per cell
Volume = 24.9 A^3/atom
Symmetry = Fm-3m, No. 225

Cell: 5.2062 5.2062 5.2062 Å, 60.00 60.00 60.00°
Element x y z (fractional)
Cu: 0.2500 0.2500 0.2500
Sc: 0.0000 0.0000 0.0000
Cu: 0.7500 0.7500 0.7500
Cs: 0.5000 0.5000 0.5000

---

Stability ranking, top entry: A; the second entry is 9.1 kJ/mol of atoms less favorable.

---

A:
This record from Alexandria via LeMat-Bulk describes crystalline CsSc3Cu at its relaxed geometry. The functional is GGA-PBE.

DOS(E_F) = 4.27 states/eV per cell
Volume = 28.5 A^3/atom
Symmetry = Pm-3m, No. 221

Cell: 5.2257 5.2257 5.2257 Å, 90.00 90.00 90.00°
Element x y z (fractional)
Sc: 0.5000 0.0000 0.0000
Cu: 0.5000 0.5000 0.5000
Sc: 0.0000 0.5000 0.0000
Cs: 0.0000 0.0000 0.0000
Sc: 0.0000 0.0000 0.5000

---

B:
This record from Alexandria via LeMat-Bulk describes crystalline CsSc3Cu at its relaxed geometry. The functional is GGA-PBE.

DOS(E_F) = 4.09 states/eV per cell
Volume = 29.1 A^3/atom
Symmetry = Pm-3m, No. 221

Cell: 5.2582 5.2582 5.2582 Å, 90.00 90.00 90.00°
Element x y z (fractional)
Cs: 0.5000 0.5000 0.5000
Sc: 0.5000 0.0000 0.0000
Cu: 0.0000 0.0000 0.0000
Sc: 0.0000 0.5000 0.0000
Sc: 0.0000 0.0000 0.5000

---

Stability ranking, top entry: B; the second entry is 111.7 kJ/mol of atoms less favorable.

---

A:
This record from Alexandria via LeMat-Bulk describes crystalline CsTiCu3Se4 at its relaxed geometry. The functional is GGA-PBE.

Volume = 25.8 A^3/atom
Symmetry = P2_1/m, No. 11

Cell: 7.8924 5.8179 10.5282 Å, 73.91 90.00 90.00°
Element x y z (fractional)
Se: 0.5021 0.4048 0.2070
Se: 0.2500 0.9831 0.9928
Cs: 0.2500 0.1822 0.6189
Se: 0.0021 0.5952 0.7930
Cu: 0.5066 0.7243 0.9980
Cu: 0.4934 0.2757 0.0020
Se: 0.7500 0.0169 0.0072
Se: 0.2500 0.8058 0.3850
Se: 0.9979 0.4048 0.2070
Cs: 0.7500 0.8178 0.3811
Se: 0.7500 0.1942 0.6150
Ti: 0.7500 0.3486 0.8001
Cu: 0.0066 0.2757 0.0020
Ti: 0.2500 0.6514 0.1999
Se: 0.4979 0.5952 0.7930
Cu: 0.2500 0.1545 0.1913
Cu: 0.9934 0.7243 0.9980
Cu: 0.7500 0.8455 0.8087

---

B:
This record from Alexandria via LeMat-Bulk describes crystalline CsTiCu3Se4 at its relaxed geometry. The functional is GGA-PBE.

Volume = 28.0 A^3/atom
Symmetry = P-43m, No. 215

Cell: 6.3166 6.3166 6.3166 Å, 90.00 90.00 90.00°
Element x y z (fractional)
Se: 0.7843 0.7843 0.2157
Cu: 0.0000 0.0000 0.5000
Ti: 0.0000 0.0000 0.0000
Se: 0.2157 0.2157 0.2157
Se: 0.7843 0.2157 0.7843
Cu: 0.5000 0.0000 0.0000
Cs: 0.5000 0.5000 0.5000
Se: 0.2157 0.7843 0.7843
Cu: 0.0000 0.5000 0.0000

---

Stability ranking, top entry: A; the second entry is 17.9 kJ/mol of atoms less favorable.

---

A:
This record from Alexandria via LeMat-Bulk describes crystalline CsCuSi3 at its relaxed geometry. The functional is GGA-PBE.

DOS(E_F) = 3.56 states/eV per cell
Volume = 34.5 A^3/atom
Symmetry = Pm-3m, No. 221

Cell: 5.5678 5.5678 5.5678 Å, 90.00 90.00 90.00°
Element x y z (fractional)
Si: 0.5000 0.0000 0.0000
Cs: 0.0000 0.0000 0.0000
Si: 0.0000 0.5000 0.0000
Cu: 0.5000 0.5000 0.5000
Si: 0.0000 0.0000 0.5000

---

B:
This record from Alexandria via LeMat-Bulk describes crystalline CsCuSi3 at its relaxed geometry. The functional is GGA-PBE.

DOS(E_F) = 3.69 states/eV per cell
Volume = 23.2 A^3/atom
Symmetry = Pm-3m, No. 221

Cell: 4.8750 4.8750 4.8750 Å, 90.00 90.00 90.00°
Element x y z (fractional)
Cu: 0.0000 0.0000 0.0000
Si: 0.0000 0.0000 0.5000
Si: 0.5000 0.0000 0.0000
Si: 0.0000 0.5000 0.0000
Cs: 0.5000 0.5000 0.5000

---

Stability ranking, top entry: B; the second entry is 168.3 kJ/mol of atoms less favorable.